1.
Compound: KPrScSe3
Source: OQMD via LeMat-Bulk
Functional: GGA-PBE
Structure: relaxed

Output
SG: No. 63
Polymorph energy (0 for the lowest one): 0.027 eV per atom

Lattice parameters (Å, degrees): 7.8166 7.8166 11.5976 90.00 90.00 147.24
Last column: nearest neighbours and their distance in Å.
Fractional coordinates of all 12 atoms:
Pr (0.0000, 0.0000, 0.0000)  6 Se 3.05
Pr (0.0000, 0.0000, 0.5000)  6 Se 3.05
Se (0.9367, 0.0633, 0.7500)  2 Sc 2.64
Se (0.6299, 0.3701, 0.9317)  1 Sc 2.56
Se (0.0633, 0.9367, 0.2500)  2 Sc 2.64
Se (0.3701, 0.6299, 0.0683)  1 Sc 2.56
Se (0.3701, 0.6299, 0.4317)  1 Sc 2.56
Se (0.6299, 0.3701, 0.5683)  1 Sc 2.56
K (0.2580, 0.7420, 0.7500)  6 Se 3.47-3.60
K (0.7420, 0.2580, 0.2500)  6 Se 3.47-3.60
Sc (0.4669, 0.5331, 0.2500)  4 Se 2.56-2.64
Sc (0.5331, 0.4669, 0.7500)  4 Se 2.56-2.64

=====

2.
Compound: NbCdPb
Source: OQMD via LeMat-Bulk
Functional: GGA-PBE
Structure: relaxed

Output
SG: No. 216
Polymorph energy (0 for the lowest one): 0.146 eV per atom

Lattice parameters (Å, degrees): 4.8054 4.8054 4.8054 60.00 60.00 60.00
Last column: nearest neighbours and their distance in Å.
Fractional coordinates of all 3 atoms:
Nb (0.7500, 0.7500, 0.7500)  4 Pb 2.94
Pb (0.0000, 0.0000, 0.0000)  4 Nb 2.94, 4 Cd 2.94
Cd (0.2500, 0.2500, 0.2500)  4 Pb 2.94